# 1
The following is a DFT calculation (PBE) of a geometry-optimized YTmPu2Te5 structure.

Cell and atoms, written as POSCAR:
```
YTmPu2Te5
1.0
5.476 0.000 0.000
0.000 5.476 0.000
0.000 0.000 11.509
Y Tm Pu Te
1 1 2 5
Direct
0.000 0.000 0.000
0.000 0.000 0.500
0.500 0.500 0.316
0.500 0.500 0.684
0.000 0.500 0.500
0.500 0.000 0.500
0.000 0.000 0.755
0.000 0.000 0.245
0.500 0.500 0.000
```

Values from the calculation:
* E: -0.504 Ry per atom

=====

# 2
The following is a DFT calculation (PBE) of a geometry-optimized ZnAg2Ge4 structure.

Cell and atoms, written as POSCAR:
```
ZnAg2Ge4
1.0
4.950 0.000 0.000
0.000 4.950 0.000
2.475 2.475 6.444
Ge Zn Ag
4 1 2
Direct
0.809 0.809 0.383
0.191 0.191 0.617
0.000 0.500 0.000
0.500 0.000 0.000
0.000 0.000 0.000
0.613 0.613 0.775
0.387 0.387 0.225
```

Values from the calculation:
* formation energy from the elements: 0.53 eV per atom
* E: -0.228 Ry per atom

=====

# 3
The following is a DFT calculation (PBE) of a geometry-optimized BeAu3 structure.

Cell and atoms, written as POSCAR:
```
BeAu3
1.0
4.513 0.000 0.000
2.257 3.909 0.000
2.257 1.303 3.685
Be Au
1 3
Direct
0.750 0.750 0.750
0.000 0.000 0.000
0.250 0.250 0.250
0.500 0.500 0.500
```

Values from the calculation:
* formation energy from the elements: 0.11 eV per atom
* E: -0.241 Ry per atom

=====

# 4
The following is a DFT calculation (PBE) of a geometry-optimized Li6InSb5 structure.

Cell and atoms, written as POSCAR:
```
Li6InSb5
1.0
-1.078 3.164 -3.993
-0.748 -5.164 -3.890
-7.303 -0.583 2.179
Sb In Li
5 1 6
Direct
0.668 0.500 0.330
0.338 0.000 0.683
0.000 0.500 0.000
0.662 0.000 0.317
0.332 0.500 0.670
0.000 0.000 0.000
0.830 0.744 0.655
0.830 0.256 0.655
0.500 0.265 0.000
0.500 0.735 0.000
0.170 0.744 0.345
0.170 0.256 0.345
```

Values from the calculation:
* E: -0.244 Ry per atom

=====

# 5
The following is a DFT calculation (PBE) of a geometry-optimized Ho8Te4P3Rh structure.

Cell and atoms, written as POSCAR:
```
Ho8Te4P3Rh
1.0
8.253 0.000 0.000
0.000 8.464 0.143
-4.126 -4.122 5.839
Ho Te P Rh
8 4 3 1
Direct
0.235 0.709 0.974
0.235 0.709 0.470
0.263 0.290 0.527
0.740 0.709 0.974
0.260 0.291 0.026
0.737 0.710 0.473
0.765 0.291 0.530
0.765 0.291 0.026
0.500 0.000 0.000
0.500 0.000 0.500
0.000 0.000 0.000
0.000 0.000 0.500
0.500 0.500 0.000
0.500 0.500 0.500
0.000 0.500 0.500
0.000 0.500 0.000
```

Values from the calculation:
* E: -0.436 Ry per atom

=====

# 6
The following is a DFT calculation (PBE) of a geometry-optimized CaPr2Y7 structure.

Cell and atoms, written as POSCAR:
```
CaPr2Y7
1.0
6.195 0.893 0.226
0.873 9.108 -2.982
0.855 -0.249 6.218
Ca Pr Y
1 2 7
Direct
0.000 0.000 0.000
0.507 0.697 0.596
0.493 0.303 0.404
0.999 0.796 0.399
0.001 0.204 0.601
0.999 0.596 0.799
0.001 0.404 0.201
0.499 0.897 0.208
0.501 0.103 0.792
0.500 0.500 0.000
```

Values from the calculation:
* formation energy from the elements: 0.05 eV per atom
* E: -0.414 Ry per atom

=====

# 7
The following is a DFT calculation (PBE) of a geometry-optimized K2CuSb structure.

Cell and atoms, written as POSCAR:
```
K2CuSb
1.0
5.990 0.052 -0.009
-2.750 5.322 -0.009
0.006 0.009 3.815
Cu K Sb
1 2 1
Direct
0.000 0.500 0.500
0.000 0.000 0.000
0.500 0.500 0.000
0.500 0.000 0.500
```

Values from the calculation:
* E: -0.185 Ry per atom

=====

# 8
The following is a DFT calculation (PBE) of a geometry-optimized Pa3Ni2As4Se2 structure.

Cell and atoms, written as POSCAR:
```
Pa3Ni2As4Se2
1.0
-2.279 -0.726 3.450
-0.561 -3.981 -1.208
11.740 -0.957 5.000
Pa Ni As Se
3 2 4 2
Direct
0.000 0.000 0.000
0.174 0.174 0.348
0.826 0.826 0.652
0.453 0.453 0.906
0.547 0.547 0.094
0.410 0.910 0.820
0.910 0.410 0.820
0.090 0.590 0.180
0.590 0.090 0.180
0.293 0.293 0.587
0.707 0.707 0.413
```

Values from the calculation:
* E: -0.502 Ry per atom